Entry from Alexandria: a relaxed Ni3AuN crystal (PBE-GGA).

## Properties
Its crystal system is monoclinic. For the energy relative to the elements, uncorrected, the calculation gives 0.222 eV/atom. For the density of states at the Fermi level, the calculation gives 4.3 states/eV/f.u. The raw total energy comes out at -5.567 eV per atom.

The structure in CIF format:
```
data_Ni3AuN
_chemical_formula_sum 'Ni12 Au4 N4'
_cell_length_a 11.1556
_cell_length_b 3.5615
_cell_length_c 6.9226
_cell_angle_alpha 90.00
_cell_angle_beta 107.66
_cell_angle_gamma 90.00
_space_group_name_H-M_alt 'C 1 2/m 1'
_space_group_IT_number 12
loop_
_space_group_symop_operation_xyz
'x,y,z'
'-x,-y,-z'
'-x,y,-z'
'x,-y,z'
'x+1/2,y+1/2,z'
'-x+1/2,-y+1/2,-z'
'-x+1/2,y+1/2,-z'
'x+1/2,-y+1/2,z'
loop_
_atom_site_label
_atom_site_fract_x
_atom_site_fract_y
_atom_site_fract_z
Ni1 0.0423 0.0000 0.1956
Ni2 0.1525 0.0000 0.7208
Ni3 0.1743 0.5000 0.4513
Au1 0.1362 0.5000 0.9888
N1 0.1335 0.0000 0.4567
```